Here is an optimized crystal structure of Pa2BeZn from Alexandria via LeMat-Bulk. Energies are from PBE.

Properties
The value obtained for the final energy is -0.426 Ry/atom. The energy above the most stable polymorph in this dataset comes out at 0.000 eV per atom. For the total moment, the calculation gives 0.000 μB per atom. As for the formation energy: 201 meV per atom.

Unit cell a=3.479 b=3.479 c=6.525 alpha=90.00 beta=90.00 gamma=90.00
Space group P4/mmm (No. 123)
Unique sites:
Pa1 0.000 0.000 0.211
Be1 0.500 0.500 0.000
Zn1 0.500 0.500 0.500